[1]
VASP calculation (PBEsol) on crystalline Li16V3Ga13O32 at its relaxed geometry.

Values from the calculation:
Total moment, Bohr magnetons per cell: 5.86
Energy relative to the elements, uncorrected, eV per atom: -2.03

Cell: 5.444 6.383 19.942 Å, 90.04 90.01 90.01°
Space group P1 (No. 1)
Asymmetric unit:
Li 0.000 0.000 0.000
Li 0.000 0.001 0.749
Li 0.160 0.251 0.124
Li 0.165 0.250 0.374
Li 0.165 0.252 0.626
Li 0.167 0.248 0.874
Li 0.498 0.751 0.000
Li 0.499 0.752 0.250
Li 0.500 0.750 0.749
Li 0.504 0.749 0.499
Li 0.660 0.503 0.875
Li 0.664 0.501 0.374
Li 0.667 0.500 0.625
Li 0.667 0.504 0.123
Li 0.998 0.004 0.499
Li 0.999 0.001 0.251
V 0.168 0.755 0.624
V 0.496 0.257 0.248
V 0.997 0.497 0.997
Ga 0.000 0.499 0.752
Ga 0.165 0.753 0.377
Ga 0.166 0.753 0.125
Ga 0.167 0.756 0.875
Ga 0.498 0.248 0.002
Ga 0.498 0.252 0.501
Ga 0.500 0.253 0.751
Ga 0.664 0.999 0.376
Ga 0.666 0.000 0.876
Ga 0.666 0.004 0.626
Ga 0.667 0.996 0.126
Ga 0.998 0.496 0.500
Ga 0.999 0.505 0.251
O 0.010 0.509 0.594
O 0.012 0.513 0.846
O 0.012 0.514 0.344
O 0.013 0.514 0.093
O 0.152 0.738 0.719
O 0.153 0.739 0.471
O 0.155 0.743 0.969
O 0.156 0.742 0.219
O 0.164 0.265 0.223
O 0.174 0.262 0.473
O 0.174 0.263 0.724
O 0.176 0.257 0.973
O 0.489 0.762 0.349
O 0.491 0.763 0.098
O 0.492 0.764 0.848
O 0.500 0.763 0.599
O 0.509 0.241 0.594
O 0.512 0.238 0.096
O 0.512 0.240 0.844
O 0.513 0.238 0.343
O 0.652 0.012 0.469
O 0.652 0.014 0.719
O 0.655 0.009 0.219
O 0.656 0.011 0.969
O 0.664 0.488 0.974
O 0.673 0.488 0.473
O 0.675 0.489 0.724
O 0.675 0.495 0.223
O 0.990 0.988 0.349
O 0.990 0.990 0.848
O 0.990 0.994 0.598
O 0.991 0.989 0.098

[2]
VASP calculation (PBEsol) on crystalline LiGaW2O8 at its relaxed geometry.

Values from the calculation:
Total moment, Bohr magnetons per cell: 0.00
Energy relative to the elements, uncorrected, eV per atom: -2.11

Cell: 9.299 5.655 4.894 Å, 90.00 90.46 90.00°
Space group P2/c (No. 13)
Asymmetric unit:
Li 0.000 0.156 0.250
Ga 0.500 0.168 0.250
W 0.250 0.318 0.744
O 0.127 0.120 0.600
O 0.151 0.399 0.062
O 0.370 0.382 0.425
O 0.386 0.118 0.910

[3]
VASP calculation (PBEsol) on crystalline RbLi2GaOs at its relaxed geometry.

Values from the calculation:
Total moment, Bohr magnetons per cell: 1.07
Total energy, eV/atom: -2.354

Cell: 4.138 4.138 5.435 Å, 90.00 90.00 90.00°
Space group P4/mmm (No. 123)
Asymmetric unit:
Rb 0.000 0.000 0.000
Li 0.000 0.500 0.000
Ga 0.000 0.000 0.500
Os 0.500 0.500 0.500

[4]
VASP calculation (PBEsol) on crystalline Li3GaP at its relaxed geometry.

Values from the calculation:
Total moment, Bohr magnetons per cell: 0.00
Total energy, eV/atom: -3.180

Cell: 4.604 4.604 4.604 Å, 90.00 90.00 90.00°
Space group Pm-3m (No. 221)
Asymmetric unit:
Li 0.000 0.000 0.500
Ga 0.500 0.500 0.500
P 0.000 0.000 0.000

[5]
VASP calculation (PBEsol) on crystalline Li3GaPb at its relaxed geometry.

Values from the calculation:
Total moment, Bohr magnetons per cell: 0.00
Total energy, eV/atom: -2.575

Cell: 4.758 4.758 4.758 Å, 90.00 90.00 90.00°
Space group Pm-3m (No. 221)
Asymmetric unit:
Li 0.000 0.000 0.500
Ga 0.000 0.000 0.000
Pb 0.500 0.500 0.500

[6]
VASP calculation (PBEsol) on crystalline LiGa2Pd at its relaxed geometry.

Values from the calculation:
Total moment, Bohr magnetons per cell: 0.00
Total energy, eV/atom: -4.207

Cell: 6.081 6.081 6.081 Å, 90.00 90.00 90.00°
Space group Fm-3m (No. 225)
Asymmetric unit:
Li 0.000 0.000 0.000
Ga 0.250 0.250 0.250
Pd 0.000 0.000 0.500

[7]
VASP calculation (PBEsol) on crystalline LiPmGa2 at its relaxed geometry.

Values from the calculation:
Total moment, Bohr magnetons per cell: 0.00
Total energy, eV/atom: -3.918

Cell: 6.827 6.827 6.827 Å, 90.00 90.00 90.00°
Space group Fm-3m (No. 225)
Asymmetric unit:
Li 0.000 0.000 0.000
Pm 0.000 0.000 0.500
Ga 0.250 0.250 0.250

[8]
VASP calculation (PBEsol) on crystalline LiPm2Ga at its relaxed geometry.

Values from the calculation:
Total moment, Bohr magnetons per cell: 0.00
Total energy, eV/atom: -4.197

Cell: 7.266 7.266 7.266 Å, 90.00 90.00 90.00°
Space group Fm-3m (No. 225)
Asymmetric unit:
Li 0.000 0.000 0.000
Pm 0.250 0.250 0.250
Ga 0.000 0.000 0.500